The following is a meta-GGA SCAN calculation of a PBEsol-optimized structure of La2ReOs, from Alexandria via LeMat-Bulk.

## Properties
The formation energy comes out at 0.536 eV per atom. Its density is 12.48 g/cm³. For the energy above the most stable polymorph in this dataset, the calculation gives 619 meV per atom.

Lattice parameters (Å, degrees): 3.5132 4.9772 4.9772 90.00 90.00 90.00
Fractional coordinates of all 4 atoms:
La 0.0000 0.5000 0.0000
La 0.0000 0.0000 0.5000
Re 0.5000 0.0000 0.0000
Os 0.5000 0.5000 0.5000